# 1
Compound: Cr2NiRh
Source: Alexandria via LeMat-Bulk
Functional: PBEsol
Structure: optimized geometry

Properties
Theoretical density (g/cm3): 9.49
DFT formation energy (meV per atom): 27.4
Calculated volume (A^3/atom): 11.61
SG: Cmmm
DOS(E_F) (states/eV per atom): 1.16

Cell: 2.5341 4.4409 4.4409 Å, 111.63 90.00 90.00°
Element x y z (fractional)
Cr (0.0000, 0.5000, 0.0000)
Cr (0.0000, 0.0000, 0.5000)
Rh (0.5000, 0.5000, 0.5000)
Ni (0.5000, 0.0000, 0.0000)

***

# 2
Compound: CaPCl2
Source: Alexandria via LeMat-Bulk
Functional: PBEsol
Structure: optimized geometry

Properties
E_form (uncorrected) (eV/atom): -0.5099
Theoretical density (g/cm3): 2.67
Calculated volume (A^3/atom): 22.05
SG: F-43m
DOS(E_F) (states/eV per atom): 0.44

Cell: 4.9967 4.9967 4.9967 Å, 60.00 60.00 60.00°
Each line ends with the local moment (μB).
Element x y z (fractional)
Ca (0.5000, 0.5000, 0.5000)  0.11
Cl (0.0000, 0.0000, 0.0000)  0.35
Cl (0.7500, 0.7500, 0.7500)  0.14
P (0.2500, 0.2500, 0.2500)  0.94